First-principles (PBE) data for a relaxed SrCeTe crystal, as listed in the Alexandria database. Values from VASP.

Calculated values
Symmetry ... P2_1/m (11)
Total DFT energy (no corrections) ... -4.469 eV per atom
Formation energy (no corrections) ... -0.884 eV/atom
Total magnetization ... 6.92 μB/cell

Cell and atoms, written as Quantum ESPRESSO input:
```
&SYSTEM
  ibrav = 0, nat = 12, ntyp = 3
/
ATOMIC_SPECIES
Te 127.60 Te.upf
Ce 140.12 Ce.upf
Sr 87.62 Sr.upf
ATOMIC_POSITIONS angstrom
Te 2.746 -7.631 3.857
Te 4.392 -7.822 -1.231
Te 0.559 -5.390 -0.522
Te -1.087 -5.198 4.566
Ce 4.198 -10.329 5.491
Ce 2.940 -5.124 -2.864
Ce -0.893 -2.691 -2.156
Ce 0.365 -7.897 6.199
Sr 3.476 -5.638 1.095
Sr 3.662 -9.815 1.532
Sr -0.170 -7.383 2.240
Sr -0.357 -3.206 1.803
CELL_PARAMETERS angstrom
-2.313 -2.866 -2.678
7.666 -4.864 -1.416
-2.047 -5.291 7.430
```